[1]
Cs2KW | Alexandria via LeMat-Bulk | PBE | relaxed; crystal system = cubic; N(E_F) = 0.25 states/eV/atom; final energy = -2.41 eV/atom; E_form = 1.526 eV/atom
1.0
9.7194 0.0000 0.0000
0.0000 9.7194 0.0000
0.0000 0.0000 9.7194
Cs K W
8 4 4
direct
0.2500 0.2500 0.2500
0.2500 0.2500 0.7500
0.2500 0.7500 0.2500
0.2500 0.7500 0.7500
0.7500 0.2500 0.2500
0.7500 0.2500 0.7500
0.7500 0.7500 0.2500
0.7500 0.7500 0.7500
0.0000 0.0000 0.0000
0.0000 0.5000 0.5000
0.5000 0.0000 0.5000
0.5000 0.5000 0.0000
0.0000 0.0000 0.5000
0.0000 0.5000 0.0000
0.5000 0.0000 0.0000
0.5000 0.5000 0.5000

***

[2]
Sr2LiSi | Alexandria via LeMat-Bulk | PBE | relaxed; crystal system = tetragonal; N(E_F) = 0.69 states/eV/atom; E_form (uncorrected) = 0.025 eV/atom; final energy = -2.65 eV/atom
1.0
4.8170 0.0000 0.0000
0.0000 4.8170 0.0000
0.0000 0.0000 9.9638
Sr Li Si
4 2 2
direct
0.0000 0.0000 0.0000
0.0000 0.5000 0.2500
0.5000 0.0000 0.7500
0.5000 0.5000 0.5000
0.0000 0.5000 0.7500
0.5000 0.0000 0.2500
0.0000 0.0000 0.5000
0.5000 0.5000 0.0000

***

[3]
TbMn5Si3 | Alexandria via LeMat-Bulk | PBE | relaxed; crystal system = orthorhombic; N(E_F) = 0.71 states/eV/atom; E_form (uncorrected) = -0.368 eV/atom; final energy = -7.78 eV/atom
1.0
1.9183 -6.0669 0.0000
1.9183 6.0669 0.0000
0.0000 0.0000 11.1102
Tb Mn Si
2 10 6
direct
0.1681 0.8319 0.7500
0.8319 0.1681 0.2500
0.0000 0.0000 0.0000
0.0000 0.0000 0.5000
0.1922 0.8078 0.0543
0.1922 0.8078 0.4457
0.4419 0.5581 0.6482
0.4419 0.5581 0.8518
0.5581 0.4419 0.1482
0.5581 0.4419 0.3518
0.8078 0.1922 0.5543
0.8078 0.1922 0.9457
0.1229 0.8771 0.2500
0.3823 0.6177 0.0558
0.3823 0.6177 0.4442
0.6177 0.3823 0.5558
0.6177 0.3823 0.9442
0.8771 0.1229 0.7500

***

[4]
YTmMg2Pd4 | Alexandria via LeMat-Bulk | PBE | relaxed; crystal system = trigonal; N(E_F) = 0.40 states/eV/atom; final energy = -5.18 eV/atom; E_form = -0.821 eV/atom
1.0
2.3755 1.3715 7.7891
-2.3755 1.3715 7.7891
0.0000 -2.7430 7.7891
Y Tm Mg Pd
1 1 2 4
direct
0.0000 0.0000 0.0000
0.5000 0.5000 0.5000
0.2497 0.2497 0.2497
0.7503 0.7503 0.7503
0.1259 0.1259 0.1259
0.3772 0.3772 0.3772
0.6228 0.6228 0.6228
0.8741 0.8741 0.8741